Ga3Cu12Au, relaxed, DFT GGA-PBE; magnetization = 0.000 μB per atom; ρ = 9.5 Mg/m³; ΔH_f (0 K) = -0.07 eV/atom; final energy = -62.70 eV/f.u.
1.0
-3.1926 1.6606 -0.8323
-1.8520 -2.7176 1.6817
0.5846 7.6111 12.9430
Cu Ga Au
12 3 1
direct
0.0000 0.5000 0.8691
0.0000 0.5000 0.3762
0.5000 0.0000 0.3762
0.5000 0.5000 0.2550
0.5000 0.5000 0.7450
0.5000 0.0000 0.8691
0.5000 0.5000 0.5000
0.0000 0.5000 0.6238
0.5000 0.5000 0.0000
0.5000 0.0000 0.1309
0.0000 0.5000 0.1309
0.5000 0.0000 0.6238
0.0000 0.0000 0.7483
0.0000 0.0000 0.2517
0.0000 0.0000 0.5000
0.0000 0.0000 0.0000


GaCu6Au2, relaxed, DFT GGA-PBE; magnetization = 0.000 μB per atom; offset from the most stable computed form = 69.7 meV per atom; ρ = 11.0 Mg/m³; ΔH_f (0 K) = 0.07 eV/atom; final energy = -33.57 eV/f.u.
1.0
5.5992 0.0000 0.0000
0.0000 4.4362 -2.5612
0.0000 0.0000 5.1225
Ga Cu Au
1 6 2
direct
0.5000 0.0000 0.0000
0.1697 0.6519 0.8260
0.8303 0.8260 0.6519
0.8303 0.3481 0.1740
0.1697 0.1740 0.8260
0.8303 0.8260 0.1740
0.1697 0.1740 0.3481
0.3784 0.6667 0.3333
0.6216 0.3333 0.6667


Ga2CuAu7, relaxed, DFT GGA-PBE; magnetization = 0.000 μB per atom; ρ = 13.7 Mg/m³; ΔH_f (0 K) = -0.01 eV/atom; final energy = -33.22 eV/f.u.
1.0
-1.1347 -0.8963 -2.4351
1.9307 -9.0893 2.4460
-7.6231 5.6620 1.4682
Au Ga Cu
7 2 1
direct
0.5000 0.7070 0.8980
0.5000 0.1020 0.2930
0.5000 0.8980 0.7070
0.5000 0.5000 0.5000
0.5000 0.2930 0.1020
0.0000 0.2165 0.7835
0.0000 0.7835 0.2165
0.5000 0.6592 0.3408
0.5000 0.3408 0.6592
0.0000 0.0000 0.0000


Ga2Cu5Au4, relaxed, DFT GGA-PBE; magnetization = 0.000 μB per atom; ρ = 12.4 Mg/m³; ΔH_f (0 K) = -0.03 eV/atom; final energy = -39.98 eV/f.u.
1.0
-0.1290 1.7106 2.2633
-5.8374 -2.8184 1.7976
4.2506 -5.9839 4.7650
Cu Au Ga
5 4 2
direct
0.0000 0.3269 0.4368
0.0000 0.6731 0.5632
0.0000 0.8551 0.0884
0.0000 0.1449 0.9116
0.0000 0.5000 0.0000
0.5000 0.3811 0.7130
0.5000 0.6189 0.2870
0.5000 0.7854 0.8319
0.5000 0.2146 0.1681
0.0000 0.9589 0.3580
0.0000 0.0411 0.6420


GaCu5Au8, relaxed, DFT GGA-PBE; magnetization = 0.000 μB per atom; ρ = 14.0 Mg/m³; ΔH_f (0 K) = 0.04 eV/atom; final energy = -49.19 eV/f.u.
1.0
6.7172 -0.0209 0.0359
-2.2925 6.3140 -0.0359
-2.1323 -3.2028 5.5062
Ga Au Cu
1 8 5
direct
0.2500 0.5000 0.7500
0.1408 0.7235 0.0598
0.7506 0.2607 0.3532
0.5827 0.9190 0.8592
0.6468 0.3974 0.9075
0.0925 0.7393 0.4899
0.9402 0.0810 0.6636
0.5101 0.6026 0.2494
0.3364 0.2765 0.4173
0.8799 0.9042 0.2064
0.5000 0.0000 0.5000
0.7936 0.6735 0.6978
0.3022 0.0958 0.9757
0.0243 0.3265 0.1201


GaCu5Au3, relaxed, DFT GGA-PBE; magnetization = 0.000 μB per atom; ρ = 11.2 Mg/m³; ΔH_f (0 K) = 0.20 eV/atom; final energy = -31.56 eV/f.u.
1.0
6.7005 0.0000 0.0000
0.0000 6.7005 0.0000
-3.3502 -3.3502 6.4457
Au Cu Ga
6 10 2
direct
0.6362 0.1362 0.0000
0.3638 0.8638 0.0000
0.8638 0.6362 0.0000
0.1362 0.3638 0.0000
0.7500 0.7500 0.5000
0.2500 0.2500 0.5000
0.8657 0.9428 0.3085
0.3657 0.8657 0.3085
0.4428 0.3657 0.3085
0.5572 0.6343 0.6915
0.5000 0.5000 0.0000
0.0000 0.0000 0.0000
0.9428 0.4428 0.3085
0.1343 0.0572 0.6915
0.0572 0.5572 0.6915
0.6343 0.1343 0.6915
0.2500 0.7500 0.5000
0.7500 0.2500 0.5000


Ga2Cu2Au7, relaxed, DFT GGA-PBE; magnetization = 0.000 μB per atom; offset from the most stable computed form = 27.8 meV per atom; ρ = 13.4 Mg/m³; ΔH_f (0 K) = 0.00 eV/atom; final energy = -37.17 eV/f.u.
1.0
4.8126 1.1412 1.3046
0.7146 6.6929 0.2123
0.7146 -0.6799 6.6617
Au Ga Cu
7 2 2
direct
0.6802 0.5782 0.0767
0.3198 0.4218 0.9233
0.6802 0.0767 0.5782
0.0653 0.6382 0.6382
0.3198 0.9233 0.4218
0.5000 0.0000 0.0000
0.9347 0.3618 0.3618
0.5003 0.7107 0.7107
0.4997 0.2893 0.2893
0.0000 0.2642 0.7358
0.0000 0.7358 0.2642


Ga2CuAu5, relaxed, DFT GGA-PBE; magnetization = 0.000 μB per atom; offset from the most stable computed form = 0.0 meV per atom; ρ = 14.1 Mg/m³; ΔH_f (0 K) = -0.09 eV/atom; final energy = -27.27 eV/f.u.
1.0
4.7373 0.0000 0.0000
0.0000 5.5714 0.0000
0.0000 0.0000 10.5842
Au Ga Cu
10 4 2
direct
0.5000 0.6935 0.9061
0.0000 0.7798 0.2501
0.0000 0.2798 0.2499
0.0000 0.2202 0.7499
0.0000 0.5000 0.5000
0.5000 0.3065 0.0939
0.0000 0.0000 0.0000
0.5000 0.8065 0.4061
0.0000 0.7202 0.7501
0.5000 0.1935 0.5939
0.5000 0.6832 0.6448
0.5000 0.1832 0.8552
0.5000 0.3168 0.3552
0.5000 0.8168 0.1448
0.0000 0.5000 0.0000
0.0000 0.0000 0.5000


GaCu3Au, relaxed, DFT GGA-PBE; magnetization = 0.000 μB per atom; offset from the most stable computed form = 621.0 meV per atom; ρ = 8.6 Mg/m³; ΔH_f (0 K) = 0.61 eV/atom; final energy = -15.55 eV/f.u.
1.0
-1.1581 1.0382 4.1636
2.5763 -3.2805 1.5346
3.4316 2.8133 0.2530
Cu Ga Au
3 1 1
direct
0.0000 0.5000 0.0000
0.0000 0.0000 0.5000
0.5000 0.0000 0.0000
0.0000 0.0000 0.0000
0.5000 0.5000 0.5000


GaCu6Au, relaxed, DFT GGA-PBE; magnetization = 0.000 μB per atom; ρ = 10.2 Mg/m³; ΔH_f (0 K) = -0.08 eV/atom; final energy = -31.53 eV/f.u.
1.0
4.3384 0.0000 0.0000
0.0000 5.2885 -0.1717
0.0000 -2.4954 4.6659
Cu Au Ga
6 1 1
direct
0.5000 0.4283 0.0893
0.0000 0.5844 0.9188
0.5000 0.9108 0.0892
0.0000 0.0812 0.4156
0.5000 0.9107 0.5717
0.0000 0.5844 0.4156
0.0000 0.0833 0.9167
0.5000 0.4166 0.5834


Ga2Cu4Au, relaxed, DFT GGA-PBE; magnetization = 0.000 μB per atom; offset from the most stable computed form = 566.1 meV per atom; ρ = 7.0 Mg/m³; ΔH_f (0 K) = 0.48 eV/atom; final energy = -22.33 eV/f.u.
1.0
4.7806 0.0000 0.0000
0.0000 4.7806 0.0000
2.3903 2.3903 6.1281
Ga Au Cu
2 1 4
direct
0.3936 0.3936 0.2128
0.6064 0.6064 0.7872
0.0000 0.0000 0.0000
0.2045 0.2045 0.5910
0.0000 0.5000 0.0000
0.7955 0.7955 0.4090
0.5000 0.0000 0.0000


Ga2Cu5Au2, relaxed, DFT GGA-PBE; magnetization = 0.000 μB per atom; offset from the most stable computed form = 73.4 meV per atom; ρ = 10.4 Mg/m³; ΔH_f (0 K) = 0.03 eV/atom; final energy = -32.78 eV/f.u.
1.0
-3.0506 3.7535 -4.1161
-4.2512 -0.1489 3.0150
6.2940 4.7897 4.6029
Ga Cu Au
4 10 4
direct
0.5080 0.9682 0.8620
0.8540 0.4682 0.8620
0.1460 0.6062 0.1380
0.4920 0.1062 0.1380
0.5761 0.6135 0.6521
0.1285 0.1658 0.7570
0.2194 0.7875 0.5000
0.4240 0.4615 0.3479
0.1285 0.6658 0.7570
0.4239 0.9615 0.3479
0.7806 0.2875 0.5000
0.8715 0.4088 0.2430
0.8715 0.9088 0.2430
0.5760 0.1135 0.6521
0.0000 0.0371 0.0000
0.8168 0.7874 0.5000
0.5000 0.5371 0.0000
0.1832 0.2874 0.5000


GaCu5Au6, relaxed, DFT GGA-PBE; magnetization = 0.000 μB per atom; offset from the most stable computed form = 7.3 meV per atom; ρ = 14.1 Mg/m³; ΔH_f (0 K) = -0.06 eV/atom; final energy = -43.90 eV/f.u.
1.0
4.0171 1.1569 0.0000
2.0886 7.9211 0.0000
1.0443 3.9606 6.2856
Cu Au Ga
5 6 1
direct
0.0000 0.3328 0.3344
0.5000 0.5000 0.0000
0.0000 0.6672 0.6656
0.5000 0.1686 0.6627
0.5000 0.8314 0.3373
0.2465 0.2532 0.0000
0.7478 0.0845 0.3351
0.7478 0.4195 0.6649
0.2522 0.5805 0.3351
0.7535 0.7468 0.0000
0.2522 0.9155 0.6649
0.0000 0.0000 0.0000


Ga4CuAu, relaxed, DFT GGA-PBE; magnetization = 0.000 μB per atom; offset from the most stable computed form = 0.0 meV per atom; ρ = 8.1 Mg/m³; ΔH_f (0 K) = -0.17 eV/atom; final energy = -20.48 eV/f.u.
1.0
-0.5669 2.7772 3.1354
-3.9949 -1.3078 0.4363
1.8324 -4.2368 4.0836
Ga Cu Au
4 1 1
direct
0.5011 0.9967 0.2658
0.0016 0.4977 0.2658
0.5011 0.9968 0.7303
0.0015 0.4977 0.7303
0.0008 0.9983 0.4987
0.5016 0.4967 0.9980


Ga2Cu3Au4, relaxed, DFT GGA-PBE; magnetization = 0.000 μB per atom; ρ = 13.2 Mg/m³; ΔH_f (0 K) = -0.09 eV/atom; final energy = -32.25 eV/f.u.
1.0
-1.8678 2.4743 2.5951
-4.4574 -1.1160 1.0354
1.0968 -5.7449 6.0585
Cu Au Ga
3 4 2
direct
0.3367 0.3236 0.4534
0.0000 0.0000 0.0000
0.6633 0.6764 0.5466
0.6630 0.6735 0.8890
0.0150 0.9698 0.3351
0.9850 0.0302 0.6649
0.3370 0.3265 0.1110
0.3205 0.3598 0.7644
0.6795 0.6402 0.2356


Ga2CuAu2, relaxed, DFT GGA-PBE; magnetization = 0.000 μB per atom; offset from the most stable computed form = 11.7 meV per atom; ρ = 11.4 Mg/m³; ΔH_f (0 K) = -0.13 eV/atom; final energy = -17.38 eV/f.u.
1.0
-5.1040 -2.8170 -1.9898
5.0575 -8.9343 -0.3250
3.5527 1.7515 7.1421
Au Cu Ga
8 4 8
direct
0.7575 0.0921 0.3100
0.2767 0.9133 0.1823
0.2233 0.4133 0.3176
0.7233 0.0867 0.8177
0.2425 0.9079 0.6900
0.7767 0.5867 0.6824
0.2575 0.4079 0.8100
0.7425 0.5921 0.1900
0.7380 0.2542 0.5729
0.7620 0.7542 0.9271
0.2380 0.2458 0.0729
0.2620 0.7458 0.4271
0.2019 0.1292 0.3315
0.7981 0.8708 0.6685
0.7018 0.3708 0.8314
0.3066 0.1494 0.8249
0.1934 0.6494 0.6751
0.6934 0.8506 0.1751
0.8066 0.3506 0.3249
0.2982 0.6292 0.1686


Ga2Cu6Au, relaxed, DFT GGA-PBE; magnetization = 0.000 μB per atom; offset from the most stable computed form = 0.0 meV per atom; ρ = 9.5 Mg/m³; ΔH_f (0 K) = -0.05 eV/atom; final energy = -34.32 eV/f.u.
1.0
-2.5054 0.1208 3.2434
-3.0300 -6.1807 0.4881
0.9535 -5.8387 3.5526
Au Cu Ga
1 6 2
direct
0.0000 0.0000 0.0000
0.6072 0.6491 0.1385
0.7869 0.2139 0.2139
0.3928 0.3509 0.8615
0.6072 0.1385 0.6491
0.3928 0.8615 0.3509
0.2131 0.7861 0.7861
0.1591 0.3419 0.3419
0.8409 0.6581 0.6581


GaCu4Au, relaxed, DFT GGA-PBE; magnetization = 0.000 μB per atom; offset from the most stable computed form = 88.4 meV per atom; ρ = 10.2 Mg/m³; ΔH_f (0 K) = 0.00 eV/atom; final energy = -22.66 eV/f.u.
1.0
5.0115 1.1612 0.0000
1.2808 4.9139 0.0000
0.0000 0.0000 7.3594
Cu Au Ga
8 2 2
direct
0.7411 0.9948 0.5643
0.2589 0.5052 0.9357
0.2589 0.5052 0.5643
0.7411 0.4948 0.4357
0.7411 0.9948 0.9357
0.2589 0.0052 0.0643
0.2589 0.0052 0.4357
0.7411 0.4948 0.0643
0.0000 0.2500 0.7500
0.0000 0.7500 0.2500
0.5000 0.7500 0.7500
0.5000 0.2500 0.2500


GaCu2Au, relaxed, DFT GGA-PBE; magnetization = 0.000 μB per atom; ρ = 11.4 Mg/m³; ΔH_f (0 K) = -0.07 eV/atom; final energy = -14.79 eV/f.u.
1.0
3.0696 0.0000 0.0000
0.0000 3.0696 0.0000
0.0000 0.0000 6.0993
Ga Cu Au
1 2 1
direct
0.5000 0.5000 0.0000
0.0000 0.0000 0.7711
0.0000 0.0000 0.2289
0.5000 0.5000 0.5000


Ga6Cu12Au, relaxed, DFT GGA-PBE; magnetization = 0.000 μB per atom; ρ = 8.1 Mg/m³; ΔH_f (0 K) = 0.09 eV/atom; final energy = -68.88 eV/f.u.
1.0
-1.9778 -2.3602 -6.2466
3.9708 -4.9518 2.8661
-5.7546 0.4799 3.8930
Cu Ga Au
12 6 1
direct
0.8867 0.5000 0.1133
0.8929 0.6543 0.6543
0.6543 0.6543 0.8929
0.5000 0.1133 0.8867
0.3457 0.3457 0.1071
0.1071 0.3457 0.3457
0.6543 0.8929 0.6543
0.8867 0.1133 0.5000
0.3457 0.1071 0.3457
0.1133 0.5000 0.8867
0.5000 0.8867 0.1133
0.1133 0.8867 0.5000
0.7005 0.3018 0.7005
0.2995 0.2995 0.6982
0.7005 0.7005 0.3018
0.2995 0.6982 0.2995
0.6982 0.2995 0.2995
0.3018 0.7005 0.7005
0.0000 0.0000 0.0000


GaCu4Au, relaxed, DFT GGA-PBE; magnetization = 0.000 μB per atom; offset from the most stable computed form = 0.0 meV per atom; ρ = 10.6 Mg/m³; ΔH_f (0 K) = -0.08 eV/atom; final energy = -23.19 eV/f.u.
1.0
3.6809 0.0000 0.0000
0.0000 8.1984 0.0000
0.0000 0.0000 5.3872
Cu Ga Au
8 2 2
direct
0.9172 0.3225 0.8806
0.4172 0.1775 0.1194
0.4171 0.8331 0.6307
0.4172 0.8225 0.1194
0.9171 0.3331 0.3693
0.9171 0.6669 0.3693
0.9172 0.6775 0.8806
0.4171 0.1669 0.6307
0.9171 0.0000 0.8735
0.4171 0.5000 0.1265
0.9172 0.0000 0.3671
0.4172 0.5000 0.6329